## Co5Re (GGA-PBEsol)

Data for a relaxed structure of Co5Re.

Structure (POSCAR):
```
Co5Re
1.0
2.541 0.000 0.000
-1.270 4.544 0.003
0.000 -1.478 5.680
Co Re
5 1
direct
0.998 0.995 0.007
0.669 0.338 0.338
0.391 0.782 0.282
0.052 0.104 0.602
0.337 0.673 0.662
0.720 0.440 0.942
```

energy relative to the elements: 0.0550 eV/atom
calculated volume: 65.6 Å³ per cell
D(E_F): 1.13 states/eV per atom
total moment: 5.4 μB per formula unit